A geometry-optimized CaPaFe2O6 structure. Source: Alexandria, functional PBE+U.

Computed properties:
- density of states at the Fermi level (states/eV/cell) = 0.00
- space-group type = P1
- final energy (eV/cell) = -76.20

abc: 5.5256 5.5320 5.8042
angles: 61.21 61.03 60.30
Last column: nearest neighbours and their distance in Å.
Fractional positions:
Fe 0.5194 0.5167 0.4417  6 O 2.07-2.27
Fe 0.0152 0.0173 0.9520  6 O 1.99-2.15
O 0.2308 0.9032 0.2299  2 Fe 2.13-2.15, 1 Pa 2.17
O 0.3586 0.7343 0.7596  1 Fe 2.00, 1 Pa 2.21
O 0.6388 0.2348 0.2272  2 Fe 2.11-2.12, 1 Pa 2.19
O 0.7348 0.1506 0.7583  1 Fe 1.99, 1 Pa 2.22
O 0.1601 0.3599 0.7474  2 Fe 2.01-2.16, 1 Pa 2.24
O 0.8932 0.6334 0.2318  2 Fe 2.07-2.15, 1 Pa 2.19
Ca 0.8013 0.7999 0.5986  6 O 2.31-2.45
Pa 0.3095 0.3116 0.0688  6 O 2.17-2.24